Below is an optimized crystal structure of Y2P, with properties calculated at the PBE level.

Computed properties:
ΔH_f (0 K) (eV per atom): -0.85
Symmetry: Fm-3m, No. 225
Total energy (eV per cell): -20.900

a b c (Å): 4.7064 4.7064 4.7064
angles (deg): 60.00 60.00 60.00
Last column: nearest neighbours and their distance in Å.
Fractional coordinates of all 3 atoms:
Y  0.2500  0.2500  0.2500  4 P 2.88
Y  0.7500  0.7500  0.7500  4 P 2.88
P  0.0000  0.0000  0.0000  8 Y 2.88